[1]
This record from Alexandria via LeMat-Bulk describes crystalline MnZnSb2 at its relaxed geometry. The functional is PBE-GGA.

a = 6.6385 Å, b = 3.8550 Å, c = 7.2128 Å
α = 90.00°, β = 107.98°, γ = 90.00°
With the nearest neighbours (Å) after each atom.
Space group C2/m (No. 12)
Asymmetric unit:
Mn 0.0000 0.0000 0.0000 x2  6 Sb 2.71-2.72
Zn 0.0000 0.5000 0.5000 x2  6 Sb 2.90
Sb 0.2426 0.5000 0.2277 x4  3 Mn 2.71-2.72, 3 Zn 2.90

Calculated values
formation energy without anion corrections = 48 kJ/mol of formula units
density of states at the Fermi level = 4.404 states/eV/cell


[2]
This record from Alexandria via LeMat-Bulk describes crystalline Ba3Hg3Au2 at its relaxed geometry. The functional is PBE-GGA.

a = 4.7730 Å, b = 12.2739 Å, c = 18.2924 Å
α = 90.00°, β = 90.00°, γ = 90.00°
With the nearest neighbours (Å) after each atom.
Space group Cmcm (No. 63)
Asymmetric unit:
Ba 0.0000 0.1113 0.0952 x8  3 Au 3.44-3.72, 7 Hg 3.58-3.75
Ba 0.0000 0.3740 0.2500 x4  4 Au 3.48, 5 Hg 3.49-3.66
Hg 0.0000 0.3419 0.7500 x4  2 Au 3.04
Hg 0.0000 0.3980 0.0504 x8  2 Au 2.90, 1 Hg 3.11
Au 0.0000 0.1899 0.6185 x8  3 Hg 2.90-3.04

Calculated values
calculated formation energy = -0.587 eV per atom
density of states at the Fermi level = 20.642 states/eV/cell


[3]
This record from Alexandria via LeMat-Bulk describes crystalline BeCo2Cu at its relaxed geometry. The functional is PBE-GGA.

a = 2.5131 Å, b = 3.3129 Å, c = 5.0006 Å
α = 90.00°, β = 90.25°, γ = 90.00°
With the nearest neighbours (Å) after each atom.
Space group Pm (No. 6)
Asymmetric unit:
Be 0.0000 0.0000 0.0000 x1  6 Co 2.37-2.63, 4 Cu 2.40, 2 Be 2.51
Co 0.0001 0.0000 0.4735 x1  2 Be 2.37-2.63, 6 Co 2.37-2.51, 4 Cu 2.52-2.53
Co 0.4988 0.5000 0.2455 x1  6 Co 2.37-2.51, 4 Be 2.41-2.42, 2 Cu 2.43-2.57
Cu 0.5008 0.5000 0.7602 x1  4 Be 2.40, 6 Co 2.43-2.57, 2 Cu 2.51

Calculated values
calculated formation energy = 0.007 eV per atom
density of states at the Fermi level = 3.346 states/eV/cell